DFT (PBE-GGA) results for an optimized crystal structure of RbCuHg2Au.

The calculation puts the polymorph energy (0 for the lowest one) at 100 meV/atom. Its calculated formation energy is 1.75 kJ per mole of atoms. The total DFT energy (no corrections) is -1.77 eV/atom. The calculation puts the total magnetization at 0.00 μB/f.u.

```
RbCuHg2Au
1.0
5.475 0.000 0.000
0.000 5.475 0.000
0.000 0.000 5.135
Rb Cu Hg Au
1 1 2 1
direct
0.000 0.000 0.000
0.500 0.500 0.000
0.000 0.500 0.500
0.500 0.000 0.500
0.500 0.500 0.500
```